VAsPb2O6: relaxed, PBE with a Hubbard U.

Properties
- Space group: No. 166
- Mass density: 7731 kg/m3
- Total energy: -6.232 eV per atom
- Total moment: 1.0 μB per formula unit

Geometry as POSCAR:
```
VAsPb2O6
1.0
-2.992 3.382 3.538
-4.847 2.474 -1.814
-7.624 -5.646 3.601
V O As Pb
2 12 2 4
Direct
0.594 0.594 0.219
0.406 0.406 0.781
0.161 0.610 0.620
0.720 0.211 0.859
0.280 0.789 0.141
0.789 0.280 0.141
0.789 0.789 0.141
0.839 0.390 0.380
0.390 0.839 0.380
0.390 0.390 0.380
0.610 0.161 0.620
0.610 0.610 0.620
0.211 0.211 0.859
0.211 0.720 0.859
0.000 0.000 0.000
0.500 0.500 0.500
0.732 0.732 0.805
0.876 0.876 0.372
0.268 0.268 0.195
0.124 0.124 0.628
```